Below is a crystal of SrCaCr2 relaxed with PBEsol, with properties calculated at the SCAN level.

abc: 3.736 5.510 9.876
angles: 90.00 90.00 90.00
Fractional coordinates of all 8 atoms:
Sr (0.000, 0.000, 0.000)
Sr (0.500, 0.500, 0.500)
Ca (0.000, 0.500, 0.805)
Ca (0.500, 0.000, 0.305)
Cr (0.000, 0.000, 0.590)
Cr (0.000, 0.500, 0.222)
Cr (0.500, 0.000, 0.722)
Cr (0.500, 0.500, 0.090)

Energy relative to the elements ... 345 meV/atom
Density of states at the Fermi level ... 4.76 states/eV/cell


Below is a crystal of Sr3CaCr relaxed with PBEsol, with properties calculated at the SCAN level.

abc: 6.170 6.170 6.170
angles: 90.00 90.00 90.00
Fractional coordinates of all 5 atoms:
Sr (0.000, 0.000, 0.500)
Sr (0.000, 0.500, 0.000)
Sr (0.500, 0.000, 0.000)
Ca (0.500, 0.500, 0.500)
Cr (0.000, 0.000, 0.000)

Energy relative to the elements ... 356 meV/atom
Density of states at the Fermi level ... 4.06 states/eV/cell


Below is a crystal of CaTaCr2 relaxed with PBEsol, with properties calculated at the SCAN level.

abc: 9.106 2.963 5.907
angles: 90.00 94.82 90.00
Fractional coordinates of all 8 atoms:
Ca (0.000, 0.000, 0.000)
Ca (0.500, 0.500, 0.000)
Ta (0.000, 0.500, 0.500)
Ta (0.500, 0.000, 0.500)
Cr (0.244, 0.000, 0.631)
Cr (0.256, 0.500, 0.369)
Cr (0.744, 0.500, 0.631)
Cr (0.756, 0.000, 0.369)

Energy relative to the elements ... 739 meV/atom
Density of states at the Fermi level ... 7.24 states/eV/cell


Below is a crystal of Ca2TaCr relaxed with PBEsol, with properties calculated at the SCAN level.

abc: 4.140 4.161 5.024
angles: 90.00 90.00 90.00
Fractional coordinates of all 4 atoms:
Ca (0.000, 0.000, 0.000)
Ca (0.500, 0.500, 0.000)
Ta (0.000, 0.500, 0.500)
Cr (0.500, 0.000, 0.500)

Energy relative to the elements ... 858 meV/atom
Density of states at the Fermi level ... 3.17 states/eV/cell